No. 1
The following is a DFT calculation (PBE-GGA) of crystalline Li2DyBiS4 at its relaxed geometry.

The structure in extended XYZ format:
```
8
Lattice="6.6499 0.0000 0.0000 0.0000 3.9461 0.0000 -2.3720 0.0000 6.4491" Properties=species:S:1:pos:R:3 pbc="T T T"
Li 0.0000 0.0000 0.0000
Li -1.1860 1.9730 3.2245
Dy 2.1390 0.0000 3.2245
Bi 3.3250 1.9730 0.0000
S -0.1514 0.0000 4.7654
S 1.0439 1.9730 1.6443
S 3.2341 1.9730 4.8048
S 4.4294 0.0000 1.6837
```

Summary:
DOS(E_F) in states/eV/cell: 0.00
Calculated total energy in eV per atom: -4.894



No. 2
The following is a DFT calculation (PBE-GGA) of crystalline HfRe3I at its relaxed geometry.

The structure in extended XYZ format:
```
5
Lattice="4.7654 0.0000 0.0000 0.0000 4.7654 0.0000 0.0000 0.0000 4.7654" Properties=species:S:1:pos:R:3 pbc="T T T"
Hf 0.0000 0.0000 0.0000
Re 0.0000 2.3827 2.3827
Re 2.3827 0.0000 2.3827
Re 2.3827 2.3827 0.0000
I 2.3827 2.3827 2.3827
```

Summary:
DOS(E_F) in states/eV/cell: 5.26
Calculated total energy in eV per atom: -7.391
Excess energy over the best structure of this formula in the dataset in kJ per mole of atoms: 0.00



No. 3
The following is a DFT calculation (PBE-GGA) of crystalline NdTm2Zn2Sn2 at its relaxed geometry.

The structure in extended XYZ format:
```
7
Lattice="2.3531 1.3585 9.0873 -2.3531 1.3585 9.0873 0.0000 -2.7171 9.0873" Properties=species:S:1:pos:R:3 pbc="T T T"
Nd 0.0000 0.0000 0.0000
Tm 0.0000 0.0000 3.6193
Tm 0.0000 0.0000 23.6426
Zn 0.0000 0.0000 11.6212
Zn 0.0000 0.0000 15.6406
Sn 0.0000 0.0000 7.1894
Sn 0.0000 0.0000 20.0724
```

Summary:
DOS(E_F) in states/eV/cell: 6.90
Calculated total energy in eV per atom: -3.796
ΔH_f (0 K) in eV/atom: -0.330



No. 4
The following is a DFT calculation (PBE-GGA) of crystalline Fe2Hg2Pb at its relaxed geometry.

The structure in extended XYZ format:
```
10
Lattice="8.3271 0.0000 0.0000 0.0000 8.3271 0.0000 0.0000 0.0000 2.9413" Properties=species:S:1:pos:R:3 pbc="T T T"
Fe 0.8602 3.3034 0.0000
Fe 3.3034 7.4669 0.0000
Fe 5.0238 0.8602 0.0000
Fe 7.4669 5.0238 0.0000
Hg 1.5245 5.6881 1.4706
Hg 2.6391 1.5245 1.4706
Hg 5.6881 6.8026 1.4706
Hg 6.8026 2.6391 1.4706
Pb 0.0000 0.0000 1.4706
Pb 4.1636 4.1636 1.4706
```

Summary:
DOS(E_F) in states/eV/cell: 8.61
Calculated total energy in eV per atom: -3.738
ΔH_f (0 K) in eV/atom: 0.509
Excess energy over the best structure of this formula in the dataset in kJ per mole of atoms: 10.76



Look up the DOS(E_F) of the first one. 0.00 states/eV/cell



Which of these has the lowest calculated total energy? HfRe3I